The following is a PBE-GGA calculation of LiLaNiRu2 after structural relaxation, from Alexandria.

* DFT formation energy: 1.4006 eV per atom
* volume: 113 Å³/cell
* total magnetization: 1.6 μB per formula unit

Unit cell a=4.8588 b=4.8588 c=4.7672 alpha=90.00 beta=90.00 gamma=90.00
Last column: nearest neighbours and their distance in Å.
Fractional positions:
Li (0.0000, 0.0000, 0.0000)  8 Ru 3.40, 4 Ni 3.44
La (0.5000, 0.5000, 0.5000)  2 Ni 2.38, 4 Ru 2.43
Ni (0.5000, 0.5000, 0.0000)  2 La 2.38
Ru (0.0000, 0.5000, 0.5000)  2 La 2.43
Ru (0.5000, 0.0000, 0.5000)  2 La 2.43